[1]
Computed, not measured: RbCd2In4Pb after structural relaxation at the GGA-PBE level of DFT.

* density: 6.24 g cm⁻³
* D(E_F): 0.26 states/eV per atom
* magnetic moment: 0.00 μB/f.u.
* DFT total energy: -2.20 eV per atom

a b c (Å): 5.2922 5.2922 32.1692
angles (deg): 90.00 90.00 120.00
Space group R-3m (No. 166, hexagonal axes)
Asymmetric unit:
1 Rb 0.0000 0.0000 0.0000 [3 per cell]
2 Cd 0.0000 0.0000 0.2369 [6 per cell]
3 In 0.0000 0.0000 0.1272 [6 per cell]
4 In 0.0000 0.0000 0.4046 [6 per cell]
5 Pb 0.0000 0.0000 0.5000 [3 per cell]

---

[2]
Computed, not measured: RbCd2InPb4 after structural relaxation at the GGA-PBE level of DFT.

* density: 7.86 g cm⁻³
* D(E_F): 0.47 states/eV per atom
* magnetic moment: 0.00 μB/f.u.
* DFT total energy: -2.54 eV per atom

a b c (Å): 5.3763 5.3763 31.7542
angles (deg): 90.00 90.00 120.00
Space group R-3m (No. 166, hexagonal axes)
Asymmetric unit:
1 Rb 0.0000 0.0000 0.0000 [3 per cell]
2 Cd 0.0000 0.0000 0.2537 [6 per cell]
3 In 0.0000 0.0000 0.5000 [3 per cell]
4 Pb 0.0000 0.0000 0.1307 [6 per cell]
5 Pb 0.0000 0.0000 0.4049 [6 per cell]

---

[3]
Computed, not measured: RbCdInPb2 after structural relaxation at the GGA-PBE level of DFT.

* density: 6.91 g cm⁻³
* D(E_F): 0.44 states/eV per atom
* magnetic moment: 0.00 μB/f.u.
* DFT total energy: -2.48 eV per atom

a b c (Å): 5.128 5.128 13.293
angles (deg): 90.00 90.00 90.00
Space group I-4m2 (No. 119)
Asymmetric unit:
1 Rb 0.000 0.000 0.000 [2 per cell]
2 Cd 0.000 0.500 0.750 [2 per cell]
3 In 0.000 0.500 0.250 [2 per cell]
4 Pb 0.000 0.000 0.381 [4 per cell]

---

[4]
Computed, not measured: RbCd4In2Pb after structural relaxation at the GGA-PBE level of DFT.

* density: 6.90 g cm⁻³
* D(E_F): 0.60 states/eV per atom
* magnetic moment: 0.00 μB/f.u.
* DFT total energy: -1.65 eV per atom

a b c (Å): 5.5709 5.5709 26.1237
angles (deg): 90.00 90.00 120.00
Space group R-3m (No. 166, hexagonal axes)
Asymmetric unit:
1 Rb 0.0000 0.0000 0.0000 [3 per cell]
2 Cd 0.0000 0.0000 0.1354 [6 per cell]
3 Cd 0.0000 0.0000 0.3818 [6 per cell]
4 In 0.0000 0.0000 0.2526 [6 per cell]
5 Pb 0.0000 0.0000 0.5000 [3 per cell]

---

[5]
Computed, not measured: Rb2CdIn3Pb4 after structural relaxation at the GGA-PBE level of DFT.

* density: 6.88 g cm⁻³
* D(E_F): 0.41 states/eV per atom
* magnetic moment: 0.00 μB/f.u.
* DFT total energy: -2.69 eV per atom

a b c (Å): 5.284 5.284 12.593
angles (deg): 90.00 90.00 90.00
Space group P-4m2 (No. 115)
Asymmetric unit:
1 Rb 0.000 0.500 0.246 [2 per cell]
2 Cd 0.500 0.500 0.000 [1 per cell]
3 In 0.000 0.000 0.000 [1 per cell]
4 In 0.000 0.500 0.633 [2 per cell]
5 Pb 0.000 0.000 0.500 [1 per cell]
6 Pb 0.000 0.500 0.871 [2 per cell]
7 Pb 0.500 0.500 0.500 [1 per cell]

---

[6]
Computed, not measured: RbCdInPb3 after structural relaxation at the GGA-PBE level of DFT.

* density: 6.76 g cm⁻³
* D(E_F): 0.40 states/eV per atom
* magnetic moment: 0.00 μB/f.u.
* DFT total energy: -2.60 eV per atom

a b c (Å): 7.015 18.328 7.135
angles (deg): 90.00 90.00 90.00
Space group Cmcm (No. 63)
Asymmetric unit:
1 Rb 0.000 0.193 0.250 [4 per cell]
2 Cd 0.000 0.388 0.250 [4 per cell]
3 In 0.000 0.126 0.750 [4 per cell]
4 Pb 0.000 0.388 0.750 [4 per cell]
5 Pb 0.235 0.000 0.000 [8 per cell]

---

[7]
Computed, not measured: CdInRePb2 after structural relaxation at the GGA-PBE level of DFT.

* density: 8.22 g cm⁻³
* D(E_F): 0.87 states/eV per atom
* magnetic moment: 4.13 μB/f.u.
* DFT total energy: -3.15 eV per atom

a b c (Å): 5.608 5.608 5.315
angles (deg): 90.00 90.00 90.00
Space group P4/mmm (No. 123)
Asymmetric unit:
1 Cd 0.000 0.000 0.000 [1 per cell]
2 In 0.000 0.000 0.500 [1 per cell]
3 Re 0.500 0.500 0.500 [1 per cell]
4 Pb 0.000 0.500 0.000 [2 per cell]

---

[8]
Computed, not measured: CdIn2RhPb after structural relaxation at the GGA-PBE level of DFT.

* density: 7.61 g cm⁻³
* D(E_F): 0.43 states/eV per atom
* magnetic moment: 0.00 μB/f.u.
* DFT total energy: -3.51 eV per atom

a b c (Å): 5.197 5.197 5.267
angles (deg): 90.00 90.00 90.00
Space group P4/mmm (No. 123)
Asymmetric unit:
1 Cd 0.000 0.000 0.000 [1 per cell]
2 In 0.000 0.500 0.500 [2 per cell]
3 Rh 0.500 0.500 0.500 [1 per cell]
4 Pb 0.500 0.500 0.000 [1 per cell]

---

[9]
Computed, not measured: CdIn2RhPb after structural relaxation at the GGA-PBE level of DFT.

* density: 7.89 g cm⁻³
* D(E_F): 0.55 states/eV per atom
* magnetic moment: 0.00 μB/f.u.
* DFT total energy: -3.48 eV per atom

a b c (Å): 5.115 5.115 5.248
angles (deg): 90.00 90.00 90.00
Space group P4/mmm (No. 123)
Asymmetric unit:
1 Cd 0.000 0.000 0.000 [1 per cell]
2 In 0.000 0.500 0.500 [2 per cell]
3 Rh 0.000 0.000 0.500 [1 per cell]
4 Pb 0.500 0.500 0.000 [1 per cell]

---

[10]
Computed, not measured: CdInPb2S4 after structural relaxation at the GGA-PBE level of DFT.

* density: 6.51 g cm⁻³
* E_form (uncorrected): -0.465 eV/atom
* D(E_F): 0.19 states/eV per atom
* magnetic moment: 0.00 μB/f.u.

a b c (Å): 5.862 5.874 7.051
angles (deg): 114.58 114.53 90.08
Space group P1 (No. 1)
Asymmetric unit:
1 Cd 0.000 0.000 0.000 [1 per cell]
2 In 0.264 0.735 0.500 [1 per cell]
3 Pb 0.513 0.484 0.000 [1 per cell]
4 Pb 0.766 0.232 0.500 [1 per cell]
5 S 0.025 0.483 0.016 [1 per cell]
6 S 0.252 0.209 0.468 [1 per cell]
7 S 0.513 0.973 0.985 [1 per cell]
8 S 0.787 0.744 0.532 [1 per cell]

---

[11]
Computed, not measured: CdIn4PbS8 after structural relaxation at the GGA-PBE level of DFT.

* density: 4.90 g cm⁻³
* E_form (uncorrected): -0.510 eV/atom
* D(E_F): 0.17 states/eV per atom
* magnetic moment: 0.00 μB/f.u.

a b c (Å): 7.9154 7.9154 19.4125
angles (deg): 90.00 90.00 120.00
Space group R3m (No. 160, hexagonal axes)
Asymmetric unit:
1 Cd 0.0000 0.0000 0.0000 [3 per cell]
2 In 0.0000 0.0000 0.2387 [3 per cell]
3 In 0.1706 0.3413 0.4534 [9 per cell]
4 Pb 0.0000 0.0000 0.6231 [3 per cell]
5 S 0.0000 0.0000 0.3760 [3 per cell]
6 S 0.0000 0.0000 0.8642 [3 per cell]
7 S 0.0132 0.5066 0.3822 [9 per cell]
8 S 0.1723 0.3447 0.1935 [9 per cell]

---

[12]
Computed, not measured: ScCdInPb after structural relaxation at the GGA-PBE level of DFT.

* density: 8.29 g cm⁻³
* D(E_F): 0.52 states/eV per atom
* magnetic moment: 0.00 μB/f.u.
* DFT total energy: -3.65 eV per atom

a b c (Å): 4.402 4.500 4.848
angles (deg): 90.00 90.00 90.00
Space group Pmmm (No. 47)
Asymmetric unit:
1 Sc 0.000 0.000 0.000 [1 per cell]
2 Cd 0.000 0.500 0.500 [1 per cell]
3 In 0.500 0.000 0.500 [1 per cell]
4 Pb 0.500 0.500 0.000 [1 per cell]